Computed, not measured: a relaxed structure of Ho4P3Se at the PBE level of DFT.

The excess energy over the best structure of this formula in the dataset comes out at 16 meV/atom.

The structure belongs to space group Pm-3m (No. 221); the cell edges are 5.6592, 5.6592 and 5.6592 Å and the angles 90.00°, 90.00° and 90.00°. The inequivalent atoms are Ho at (0.0000, 0.0000, 0.0000), Ho at (0.0000, 0.5000, 0.5000), P at (0.0000, 0.0000, 0.5000) and Se at (0.5000, 0.5000, 0.5000).

Computed, not measured: a relaxed structure of Ho5P4Se at the PBE level of DFT.

As for the total energy: -6.499 eV per atom.

The structure belongs to space group Immm (No. 71); the cell edges are 3.9962, 5.6549 and 20.0550 Å and the angles 90.00°, 90.00° and 90.00°. The inequivalent atoms are Ho at (0.0000, 0.0000, 0.0000), Ho at (0.0000, 0.0000, 0.1992), Ho at (0.0000, 0.0000, 0.3924), P at (0.0000, 0.5000, 0.2012), P at (0.0000, 0.5000, 0.4010) and Se at (0.0000, 0.5000, 0.0000).